No. 1
The following is a GGA-PBE calculation of Hf2Cr3Co after structural relaxation, from the Alexandria database.

Output
V (Å³/cell): 87
Energy of formation (eV per atom): -0.16

a b c (Å): 5.073 5.073 5.073
angles (deg): 57.48 57.48 57.48
Sites, in units of the cell vectors:
Hf 0.125 0.125 0.125
Hf 0.875 0.875 0.875
Cr 0.000 0.500 0.500
Cr 0.500 0.000 0.500
Cr 0.500 0.500 0.000
Co 0.500 0.500 0.500

=====

No. 2
The following is a GGA-PBE calculation of HfCrCo2 after structural relaxation, from the Alexandria database.

Output
Distance to the lowest polymorph of the same formula (kJ/mol of formula units): 3
V (Å³/cell): 55
Energy of formation (eV per atom): -0.12

a b c (Å): 4.273 4.273 4.273
angles (deg): 60.00 60.00 60.00
Sites, in units of the cell vectors:
Hf 0.000 0.000 0.000
Cr 0.500 0.500 0.500
Co 0.250 0.250 0.250
Co 0.750 0.750 0.750

=====

No. 3
The following is a GGA-PBE calculation of HfCr3Co after structural relaxation, from the Alexandria database.

Output
Distance to the lowest polymorph of the same formula (kJ/mol of formula units): 0
V (Å³/cell): 78
Energy of formation (eV per atom): 0.89

a b c (Å): 4.271 4.271 4.271
angles (deg): 90.00 90.00 90.00
Sites, in units of the cell vectors:
Hf 0.000 0.000 0.000
Cr 0.000 0.500 0.500
Cr 0.500 0.000 0.500
Cr 0.500 0.500 0.000
Co 0.500 0.500 0.500

=====

No. 4
The following is a GGA-PBE calculation of HfCr3Co after structural relaxation, from the Alexandria database.

Output
Distance to the lowest polymorph of the same formula (kJ/mol of formula units): 709
V (Å³/cell): 87
Energy of formation (eV per atom): 2.36

a b c (Å): 4.426 4.426 4.426
angles (deg): 90.00 90.00 90.00
Sites, in units of the cell vectors:
Hf 0.000 0.000 0.000
Cr 0.000 0.000 0.500
Cr 0.000 0.500 0.000
Cr 0.500 0.000 0.000
Co 0.500 0.500 0.500

=====

No. 5
The following is a GGA-PBE calculation of HfCr2Co after structural relaxation, from the Alexandria database.

Output
Distance to the lowest polymorph of the same formula (kJ/mol of formula units): 0
V (Å³/cell): 54
Energy of formation (eV per atom): 0.32

a b c (Å): 4.252 4.252 4.252
angles (deg): 60.00 60.00 60.00
Sites, in units of the cell vectors:
Hf 0.000 0.000 0.000
Cr 0.250 0.250 0.250
Cr 0.750 0.750 0.750
Co 0.500 0.500 0.500

=====

No. 6
The following is a GGA-PBE calculation of HfCrCo3 after structural relaxation, from the Alexandria database.

Output
Distance to the lowest polymorph of the same formula (kJ/mol of formula units): 0
V (Å³/cell): 73
Energy of formation (eV per atom): 0.61

a b c (Å): 4.176 4.176 4.176
angles (deg): 90.00 90.00 90.00
Sites, in units of the cell vectors:
Hf 0.000 0.000 0.000
Cr 0.500 0.500 0.500
Co 0.000 0.500 0.500
Co 0.500 0.000 0.500
Co 0.500 0.500 0.000

=====

No. 7
The following is a GGA-PBE calculation of Hf2CrCo3 after structural relaxation, from the Alexandria database.

Output
V (Å³/cell): 83
Energy of formation (eV per atom): -0.31

a b c (Å): 4.810 4.810 4.810
angles (deg): 62.31 62.31 62.31
Sites, in units of the cell vectors:
Hf 0.128 0.128 0.128
Hf 0.872 0.872 0.872
Cr 0.500 0.500 0.500
Co 0.000 0.500 0.500
Co 0.500 0.000 0.500
Co 0.500 0.500 0.000

=====

No. 8
The following is a GGA-PBE calculation of HfCrCo2 after structural relaxation, from the Alexandria database.

Output
Distance to the lowest polymorph of the same formula (kJ/mol of formula units): 0
V (Å³/cell): 55
Energy of formation (eV per atom): -0.13

a b c (Å): 4.195 4.195 3.129
angles (deg): 90.00 90.00 90.00
Sites, in units of the cell vectors:
Hf 0.000 0.000 0.000
Cr 0.500 0.500 0.000
Co 0.000 0.500 0.500
Co 0.500 0.000 0.500

=====

No. 9
The following is a GGA-PBE calculation of HfCrCo3 after structural relaxation, from the Alexandria database.

Output
Distance to the lowest polymorph of the same formula (kJ/mol of formula units): 569
V (Å³/cell): 87
Energy of formation (eV per atom): 1.79

a b c (Å): 4.439 4.439 4.439
angles (deg): 90.00 90.00 90.00
Sites, in units of the cell vectors:
Hf 0.000 0.000 0.000
Cr 0.500 0.500 0.500
Co 0.000 0.000 0.500
Co 0.000 0.500 0.000
Co 0.500 0.000 0.000

=====

No. 10
The following is a GGA-PBE calculation of HfCr2Co after structural relaxation, from the Alexandria database.

Output
Distance to the lowest polymorph of the same formula (kJ/mol of formula units): 61
V (Å³/cell): 116
Energy of formation (eV per atom): 0.48

a b c (Å): 9.923 9.923 9.923
angles (deg): 159.88 159.88 28.61
Sites, in units of the cell vectors:
Hf 0.000 0.000 0.000
Hf 0.750 0.250 0.500
Cr 0.159 0.625 0.034
Cr 0.375 0.409 0.534
Cr 0.591 0.125 0.966
Cr 0.875 0.841 0.466
Co 0.250 0.750 0.500
Co 0.500 0.500 0.000

=====

No. 11
The following is a GGA-PBE calculation of Hf2CrCo2 after structural relaxation, from the Alexandria database.

Output
V (Å³/cell): 153
Energy of formation (eV per atom): -0.14

a b c (Å): 6.100 6.100 4.102
angles (deg): 90.00 90.00 90.00
Sites, in units of the cell vectors:
Hf 0.178 0.322 0.000
Hf 0.322 0.822 0.000
Hf 0.678 0.178 0.000
Hf 0.822 0.678 0.000
Cr 0.000 0.000 0.500
Cr 0.500 0.500 0.500
Co 0.137 0.637 0.500
Co 0.363 0.137 0.500
Co 0.637 0.863 0.500
Co 0.863 0.363 0.500

=====

No. 12
The following is a GGA-PBE calculation of HfCrCoIr after structural relaxation, from the Alexandria database.

Output
V (Å³/cell): 60
Energy of formation (eV per atom): -0.29

a b c (Å): 4.404 4.404 4.404
angles (deg): 60.00 60.00 60.00
Sites, in units of the cell vectors:
Hf 0.000 0.000 0.000
Cr 0.500 0.500 0.500
Co 0.250 0.250 0.250
Ir 0.750 0.750 0.750

=====

No. 13
The following is a GGA-PBE calculation of LiHfCr2Co after structural relaxation, from the Alexandria database.

Output
V (Å³/cell): 78
Energy of formation (eV per atom): 1.28

a b c (Å): 4.128 4.128 4.578
angles (deg): 90.00 90.00 90.00
Sites, in units of the cell vectors:
Li 0.000 0.000 0.000
Hf 0.000 0.000 0.500
Cr 0.000 0.500 0.000
Cr 0.500 0.000 0.000
Co 0.500 0.500 0.500

=====

No. 14
The following is a GGA-PBE calculation of HfCrCoNi after structural relaxation, from the Alexandria database.

Output
V (Å³/cell): 56
Energy of formation (eV per atom): -0.13

a b c (Å): 4.301 4.301 4.301
angles (deg): 60.00 60.00 60.00
Sites, in units of the cell vectors:
Hf 0.000 0.000 0.000
Cr 0.500 0.500 0.500
Co 0.250 0.250 0.250
Ni 0.750 0.750 0.750

=====

No. 15
The following is a GGA-PBE calculation of HfCrCoRh after structural relaxation, from the Alexandria database.

Output
V (Å³/cell): 60
Energy of formation (eV per atom): -0.27

a b c (Å): 4.389 4.389 4.389
angles (deg): 60.00 60.00 60.00
Sites, in units of the cell vectors:
Hf 0.000 0.000 0.000
Cr 0.500 0.500 0.500
Co 0.750 0.750 0.750
Rh 0.250 0.250 0.250